1.
Li5CaIn7, optimized geometry, DFT PBE; M_tot = 0.0 μB/cell; calculated total energy = -2.65 eV per atom; DOS at the Fermi energy = 0.285 states/eV per atom; energy relative to the elements = -0.2864 eV/atom
1.0
-2.922 4.896 4.930
2.922 -4.896 4.930
2.922 4.896 -4.930
Li Ca In
5 1 7
Cartesian
0.000 0.000 0.000
1.490 2.440 -0.237
4.354 2.440 -0.237
-1.432 2.456 4.692
1.432 2.456 4.692
2.922 0.000 2.256
2.922 2.845 -2.791
0.000 2.051 2.139
0.000 0.000 4.483
0.000 4.896 0.677
2.922 3.350 2.341
0.000 4.896 3.769
0.000 1.546 7.271

2.
Li6Ca2In, optimized geometry, DFT PBE; M_tot = 0.0 μB/cell; calculated total energy = -2.13 eV per atom; DOS at the Fermi energy = 0.472 states/eV per atom; energy relative to the elements = -0.1074 eV/atom
1.0
5.988 0.000 0.000
-2.994 5.185 0.000
0.000 0.000 6.928
Li Ca In
6 2 1
Cartesian
0.000 1.776 1.106
-1.456 4.297 1.106
1.538 0.888 5.822
1.456 4.297 1.106
4.450 0.888 5.822
2.994 3.410 5.822
0.000 3.457 4.279
2.994 1.728 2.649
0.000 0.000 3.464

3.
Li4CaIn7, optimized geometry, DFT PBE; M_tot = 0.0 μB/cell; calculated total energy = -2.51 eV per atom; DOS at the Fermi energy = 0.484 states/eV per atom; energy relative to the elements = -0.1094 eV/atom
1.0
5.894 -2.864 0.000
5.894 2.864 0.000
-5.871 0.000 8.868
Li Ca In
4 1 7
Cartesian
-0.591 0.000 2.820
2.238 0.000 1.997
3.680 0.000 6.872
6.509 0.000 6.049
5.894 0.000 0.000
0.000 0.000 0.000
-1.690 0.000 5.474
-3.120 0.000 8.055
1.453 0.000 5.041
4.465 0.000 3.828
9.038 0.000 0.814
7.608 0.000 3.395

4.
Li14CaIn, optimized geometry, DFT PBE; M_tot = 0.0 μB/cell; calculated total energy = -2.00 eV per atom; DOS at the Fermi energy = 0.560 states/eV per atom; energy relative to the elements = -0.0288 eV/atom
1.0
9.855 0.000 0.000
0.000 3.461 4.929
0.000 -3.461 4.929
Li Ca In
14 1 1
Cartesian
0.000 0.000 0.000
0.000 0.000 4.843
0.000 -1.686 7.330
0.000 1.686 7.330
2.347 -1.687 4.666
2.347 1.687 4.666
2.500 0.000 2.336
2.523 0.000 6.985
4.928 -1.736 7.121
4.928 1.736 7.121
7.333 0.000 6.985
7.355 0.000 2.336
7.508 -1.687 4.666
7.508 1.687 4.666
4.928 0.000 9.584
4.928 0.000 4.655